# 1
# CaGa3W

An optimized crystal structure of CaGa3W (GGA-PBE, Alexandria via LeMat-Bulk).

Values from the calculation:
M_tot: 0.00 μB per formula unit
energy of formation: 1972.5 meV/atom
final energy: -0.208 Ry/atom
E above lowest polymorph: 1977 meV/atom

abc: 5.0426 5.0426 5.0426
angles: 90.00 90.00 90.00
Last column: nearest neighbours and their distance in Å.
Space group Pm-3m (No. 221)
Asymmetric unit:
Ca 0.0000 0.0000 0.0000  6 Ga 2.52
Ga 0.0000 0.0000 0.5000  2 Ca 2.52
W 0.5000 0.5000 0.5000  12 Ga 3.57

# 2
# Tm2GaRh3

An optimized crystal structure of Tm2GaRh3 (GGA-PBE, Alexandria via LeMat-Bulk).

Values from the calculation:
M_tot: 0.00 μB per formula unit
energy of formation: -908.9 meV/atom
final energy: -0.484 Ry/atom
E above lowest polymorph: 0 meV/atom

abc: 5.5770 5.5770 11.8230
angles: 90.00 90.00 120.00
Last column: nearest neighbours and their distance in Å.
Space group R-3m (No. 166, hexagonal axes)
Asymmetric unit:
Tm 0.0000 0.0000 0.1305  9 Rh 2.89-3.19, 1 Tm 3.09
Ga 0.0000 0.0000 0.5000  6 Rh 2.54
Rh 0.0000 0.5000 0.0000  2 Ga 2.54, 4 Rh 2.79

# 3
# Cu5Te2Se2

An optimized crystal structure of Cu5Te2Se2 (GGA-PBE, Alexandria via LeMat-Bulk).

Values from the calculation:
E_form (uncorrected): -46 meV/atom
M_tot: 0.00 μB per formula unit
final energy: -0.279 Ry/atom
E above lowest polymorph: 0 meV/atom

abc: 14.6717 3.9665 6.7326
angles: 90.00 109.83 90.00
Last column: nearest neighbours and their distance in Å.
Space group C2/m (No. 12)
Asymmetric unit:
Cu 0.0000 0.0000 0.0000  2 Se 2.48
Cu 0.1965 0.5000 0.0255  3 Se 2.44-2.49, 3 Cu 2.62-2.72, 1 Te 2.63
Cu 0.2020 0.0000 0.5537  1 Se 2.46, 3 Te 2.61-2.64, 3 Cu 2.67-2.72
Te 0.1092 0.5000 0.3080  4 Cu 2.61-2.64
Se 0.1232 0.0000 0.8234  5 Cu 2.44-2.49

# 4
# AcNdSe2O8

An optimized crystal structure of AcNdSe2O8 (GGA-PBE, Alexandria via LeMat-Bulk).

Values from the calculation:
E_form (uncorrected): -1696 meV/atom
M_tot: 1.38 μB per formula unit
final energy: -0.465 Ry/atom

abc: 5.9445 5.9445 7.5215
angles: 90.00 90.00 120.00
Last column: nearest neighbours and their distance in Å.
Space group P-3m1 (No. 164)
Asymmetric unit:
Ac 0.0000 0.0000 0.0000  6 O 2.62
Nd 0.0000 0.0000 0.5000  6 O 2.37
Se 0.3333 0.6667 0.7737  4 O 1.67-1.83
O 0.1584 0.3167 0.7281  1 Se 1.83
O 0.3333 0.6667 0.9964  1 Se 1.67

# 5
# Nd5Hg2Ir

An optimized crystal structure of Nd5Hg2Ir (GGA-PBE, Alexandria via LeMat-Bulk).

Values from the calculation:
M_tot: 0.00 μB per formula unit
energy of formation: -455.0 meV/atom
final energy: -0.339 Ry/atom
E above lowest polymorph: 0 meV/atom

abc: 7.8424 12.3374 4.8830
angles: 90.00 90.00 90.00
Last column: nearest neighbours and their distance in Å.
Space group Pbam (No. 55)
Asymmetric unit:
Nd 0.0000 0.0000 0.0000  4 Hg 3.23
Nd 0.1450 0.2955 0.0000  1 Ir 2.77
Nd 0.1795 0.5776 0.5000  2 Ir 2.98, 2 Hg 3.28
Hg 0.0739 0.8346 0.5000  9 Nd 3.23-3.57
Ir 0.0000 0.5000 0.0000  6 Nd 2.77-2.98

# 6
# RbBiRh2

An optimized crystal structure of RbBiRh2 (GGA-PBE, Alexandria via LeMat-Bulk).

Values from the calculation:
M_tot: 0.00 μB per formula unit
energy of formation: 592.2 meV/atom
final energy: -0.316 Ry/atom

abc: 7.9486 7.9486 6.9841
angles: 90.00 90.00 90.00
Last column: nearest neighbours and their distance in Å.
Space group I-42d (No. 122)
Asymmetric unit:
Rb 0.0000 0.0000 0.0000  8 Rh 3.36-3.58, 2 Bi 3.49
Bi 0.0000 0.0000 0.5000  4 Rh 2.59
Rh 0.1780 0.2500 0.6250  2 Bi 2.59

# 7
# Ho2TmMg5Sc2

An optimized crystal structure of Ho2TmMg5Sc2 (GGA-PBE, Alexandria via LeMat-Bulk).

Values from the calculation:
M_tot: 0.00 μB per formula unit
energy of formation: 39.6 meV/atom
final energy: -0.249 Ry/atom

abc: 10.2714 10.2714 4.9416
angles: 90.00 90.00 90.00
Last column: nearest neighbours and their distance in Å.
Space group P4/mbm (No. 127)
Asymmetric unit:
Ho 0.1786 0.3214 0.0000  3 Sc 2.98-3.09
Tm 0.0000 0.0000 0.0000  8 Mg 3.31
Mg 0.0000 0.5000 0.5000  4 Sc 2.99, 4 Mg 3.14
Mg 0.0696 0.7974 0.5000  4 Mg 3.11-3.31, 2 Sc 3.13, 2 Tm 3.31
Sc 0.1162 0.6162 0.0000  3 Ho 2.98-3.09, 6 Mg 2.99-3.13

# 8
# Ba2Ag2Au

An optimized crystal structure of Ba2Ag2Au (GGA-PBE, Alexandria via LeMat-Bulk).

Values from the calculation:
M_tot: 0.00 μB per formula unit
energy of formation: -247.5 meV/atom
final energy: -0.207 Ry/atom
E above lowest polymorph: 182 meV/atom

abc: 6.3999 6.3999 8.2774
angles: 90.00 90.00 90.00
Last column: nearest neighbours and their distance in Å.
Space group I4/mmm (No. 139)
Asymmetric unit:
Ba 0.0000 0.5000 0.2500  4 Ag 3.28
Ag 0.0000 0.0000 0.1616  1 Ag 2.68, 1 Au 2.80
Au 0.0000 0.0000 0.5000  2 Ag 2.80